Record 1
This record from the Alexandria database describes K2RuO3 after structural relaxation. The functional is PBE.

Unit cell a=10.080 b=7.029 c=5.917 alpha=90.00 beta=100.54 gamma=90.00
Space group C2/c (No. 15)
One atom of each set of equivalent atoms:
K 0.163 0.139 0.201
Ru 0.000 0.427 0.750
O 0.000 0.159 0.750
O 0.120 0.447 0.488

Properties
**ΔE_f (raw)**: -1.212 eV/atom



Record 2
This record from the Alexandria database describes Ca2Nd4Er after structural relaxation. The functional is PBE.

Unit cell a=3.589 b=5.926 c=23.827 alpha=90.00 beta=90.00 gamma=90.00
Space group Immm (No. 71)
One atom of each set of equivalent atoms:
Ca 0.000 0.000 0.221
Nd 0.000 0.500 0.129
Nd 0.000 0.500 0.420
Er 0.000 0.000 0.500

Properties
**Distance to the lowest polymorph of the same formula**: 0.0000 eV per atom



Record 3
This record from the Alexandria database describes HoEr4Se5 after structural relaxation. The functional is PBE.

Unit cell a=4.034 b=4.034 c=28.667 alpha=90.00 beta=90.00 gamma=90.00
Space group I4/mmm (No. 139)
One atom of each set of equivalent atoms:
Ho 0.000 0.000 0.000
Er 0.000 0.000 0.203
Er 0.000 0.000 0.402
Se 0.000 0.000 0.102
Se 0.000 0.000 0.302
Se 0.000 0.000 0.500

Properties
**ΔE_f (raw)**: -1.696 eV/atom